# IrBrCl2, optimized geometry, DFT PBE-GGA
data_IrBrCl2
_chemical_formula_sum 'Ir1 Br1 Cl2'
_cell_length_a 4.713
_cell_length_b 3.662
_cell_length_c 7.052
_cell_angle_alpha 90.00
_cell_angle_beta 109.44
_cell_angle_gamma 90.00
_space_group_name_H-M_alt 'P 1 m 1'
_space_group_IT_number 6
_space_group_name_Hall 'P -2y'
loop_
_atom_site_label
_atom_site_fract_x
_atom_site_fract_y
_atom_site_fract_z
Ir1 0.000 0.000 0.000
Br1 0.128 0.500 0.257
Cl1 0.534 0.000 0.068
Cl2 0.885 0.500 0.768
# - total magnetization (Bohr magnetons per cell) = 0.00
# - excess energy over the best structure of this formula in the dataset (eV per formula unit) = 0.67
# - crystal system = monoclinic
# - uncorrected formation energy (eV/atom) = -0.238